Entry 1:
A plane-wave DFT calculation with PBE was carried out for an optimized crystal structure of TbTm3Zr.

Properties
Energy relative to the lowest polymorph listed for this composition in eV per atom: 0.000
Energy in eV per atom: -5.2611

Geometry as POSCAR:
```
TbTm3Zr
1.0
3.424 -0.002 -0.001
-1.709 8.882 -1.087
-0.007 -1.514 9.628
Tb Tm Zr
2 6 2
Direct
0.418 0.870 0.153 Tb
0.626 0.284 0.269 Tb
0.024 0.082 0.463 Tm
0.416 0.864 0.665 Tm
0.628 0.290 0.757 Tm
0.020 0.072 0.959 Tm
0.226 0.485 0.052 Tm
0.819 0.669 0.369 Tm
0.226 0.486 0.573 Zr
0.818 0.669 0.848 Zr
```


Entry 2:
A plane-wave DFT calculation with PBE was carried out for an optimized crystal structure of Sm3InHg4.

Properties
Energy relative to the lowest polymorph listed for this composition in eV per atom: 0.000
Energy in eV per atom: -2.7032

Geometry as POSCAR:
```
Sm3InHg4
1.0
5.012 0.000 1.480
2.288 4.460 1.480
-0.058 -0.036 9.428
Hg Sm In
4 3 1
Direct
0.869 0.869 0.393 Hg
0.379 0.379 0.862 Hg
0.131 0.131 0.607 Hg
0.621 0.621 0.138 Hg
0.259 0.259 0.224 Sm
0.741 0.741 0.776 Sm
0.500 0.500 0.500 Sm
0.000 0.000 0.000 In
```


Entry 3:
A plane-wave DFT calculation with PBE was carried out for an optimized crystal structure of Pa2CdAu6.

Properties
Energy in eV per atom: -4.6954

Geometry as POSCAR:
```
Pa2CdAu6
1.0
3.097 0.001 0.002
0.005 7.239 4.161
0.003 0.013 8.350
Pa Cd Au
2 1 6
Direct
0.000 0.333 0.333 Pa
0.000 0.667 0.667 Pa
0.000 0.000 0.000 Cd
0.499 0.668 0.000 Au
0.501 0.000 0.332 Au
0.501 0.332 0.000 Au
0.500 0.668 0.332 Au
0.499 0.000 0.668 Au
0.500 0.332 0.668 Au
```


Entry 4:
A plane-wave DFT calculation with PBE was carried out for an optimized crystal structure of CaLa3Ru.

Properties
Energy relative to the lowest polymorph listed for this composition in eV per atom: 0.030
Energy in eV per atom: -5.3535

Geometry as POSCAR:
```
CaLa3Ru
1.0
-7.225 2.035 3.604
1.570 -7.146 2.353
-1.342 4.731 5.675
Ru Ca La
2 2 6
Direct
0.796 0.642 0.741 Ru
0.279 0.214 0.138 Ru
0.092 0.945 0.831 Ca
0.603 0.138 0.136 Ca
0.575 0.246 0.694 La
0.509 0.743 0.749 La
0.037 0.451 0.219 La
0.036 0.934 0.365 La
0.098 0.422 0.657 La
0.554 0.644 0.183 La
```


Entry 5:
A plane-wave DFT calculation with PBE was carried out for an optimized crystal structure of Tb2InTc.

Properties
Energy relative to the lowest polymorph listed for this composition in eV per atom: 0.084
Energy in eV per atom: -5.7243

Geometry as POSCAR:
```
Tb2InTc
1.0
-1.857 4.611 -1.125
-5.013 0.872 0.301
-1.852 2.974 3.701
Tb Tc In
2 1 1
Direct
0.250 0.250 0.250 Tb
0.750 0.750 0.750 Tb
0.000 0.000 0.000 Tc
0.500 0.500 0.500 In
```


Entry 6:
A plane-wave DFT calculation with PBE was carried out for an optimized crystal structure of Sm4Ho5Ag.

Properties
Energy in eV per atom: -4.5057

Geometry as POSCAR:
```
Sm4Ho5Ag
1.0
-2.011 -0.114 2.953
1.480 -3.130 0.887
17.204 11.579 12.166
Sm Ho Ag
4 5 1
Direct
0.000 0.000 0.185 Sm
0.000 0.000 0.395 Sm
0.000 0.000 0.605 Sm
0.000 0.000 0.815 Sm
0.500 0.500 0.078 Ho
0.500 0.500 0.289 Ho
0.500 0.500 0.500 Ho
0.500 0.500 0.711 Ho
0.500 0.500 0.922 Ho
0.000 0.000 0.000 Ag
```


Entry 7:
A plane-wave DFT calculation with PBE was carried out for an optimized crystal structure of Rb2ScBi2.

Properties
Energy relative to the lowest polymorph listed for this composition in eV per atom: 0.000
Energy in eV per atom: -3.4709

Geometry as POSCAR:
```
Rb2ScBi2
1.0
-5.088 4.589 -4.001
-6.051 -4.388 2.662
-0.533 3.767 4.998
Sc Bi Rb
2 4 4
Direct
0.000 0.000 0.000 Sc
0.500 0.500 0.000 Sc
0.358 0.858 0.000 Bi
0.858 0.642 0.000 Bi
0.642 0.142 0.000 Bi
0.142 0.358 0.000 Bi
0.167 0.667 0.500 Rb
0.667 0.833 0.500 Rb
0.833 0.333 0.500 Rb
0.333 0.167 0.500 Rb
```


Entry 8:
A plane-wave DFT calculation with PBE was carried out for an optimized crystal structure of BaScTa3.

Properties
Energy relative to the lowest polymorph listed for this composition in eV per atom: 0.774
Energy in eV per atom: -6.1958

Geometry as POSCAR:
```
BaScTa3
1.0
5.087 0.000 0.000
0.000 5.087 0.000
0.000 0.000 5.087
Sc Ba Ta
1 1 3
Direct
0.500 0.500 0.500 Sc
0.000 0.000 0.000 Ba
0.000 0.500 0.000 Ta
0.000 0.000 0.500 Ta
0.500 0.000 0.000 Ta
```


Entry 9:
A plane-wave DFT calculation with PBE was carried out for an optimized crystal structure of NaAlPb.

Properties
Energy in eV per atom: -2.9330

Geometry as POSCAR:
```
NaAlPb
1.0
-0.977 -6.242 -5.211
0.898 -3.560 4.095
-7.171 -1.984 -0.151
Pb Na Al
4 4 4
Direct
0.669 0.250 0.994 Pb
0.331 0.750 0.006 Pb
0.800 0.250 0.413 Pb
0.200 0.750 0.587 Pb
0.248 0.250 0.255 Na
0.752 0.750 0.745 Na
0.391 0.250 0.718 Na
0.609 0.750 0.282 Na
0.008 0.250 0.676 Al
0.992 0.750 0.324 Al
0.000 0.000 0.000 Al
0.000 0.500 0.000 Al
```


Entry 10:
A plane-wave DFT calculation with PBE was carried out for an optimized crystal structure of Tb2NdUO8.

Properties
Energy in eV per atom: -8.6604
Raw formation energy in eV per atom: -3.245

Geometry as POSCAR:
```
Tb2NdUO8
1.0
3.922 -0.026 -0.002
0.034 5.362 -0.006
0.004 0.008 7.666
Tb Nd U O
2 1 1 8
Direct
0.500 0.500 0.759 Tb
0.500 0.500 0.241 Tb
0.000 0.000 0.500 Nd
0.000 0.000 0.000 U
0.000 0.757 0.222 O
0.500 0.769 0.000 O
0.000 0.243 0.222 O
0.000 0.243 0.778 O
0.500 0.231 0.000 O
0.000 0.757 0.778 O
0.500 0.735 0.500 O
0.500 0.265 0.500 O
```


Entry 11:
A plane-wave DFT calculation with PBE was carried out for an optimized crystal structure of Tm6PuSe8.

Properties
Energy in eV per atom: -6.3241
Raw formation energy in eV per atom: -1.722

Geometry as POSCAR:
```
Tm6PuSe8
1.0
-5.161 -6.096 -0.800
2.059 -6.465 -4.290
1.430 -6.981 3.696
Tm Pu Se
6 1 8
Direct
0.000 0.500 0.500 Tm
0.500 0.000 0.000 Tm
0.500 0.500 0.000 Tm
0.000 0.000 0.500 Tm
0.000 0.500 0.000 Tm
0.500 0.000 0.500 Tm
0.000 0.000 0.000 Pu
0.750 0.750 0.750 Se
0.250 0.250 0.250 Se
0.741 0.259 0.259 Se
0.259 0.741 0.741 Se
0.259 0.259 0.741 Se
0.741 0.741 0.259 Se
0.741 0.259 0.741 Se
0.259 0.741 0.259 Se
```


Entry 12:
A plane-wave DFT calculation with PBE was carried out for an optimized crystal structure of HfNbTe3.

Properties
Energy relative to the lowest polymorph listed for this composition in eV per atom: 0.000
Energy in eV per atom: -6.2425
Raw formation energy in eV per atom: -0.353

Geometry as POSCAR:
```
HfNbTe3
1.0
-3.805 3.839 3.817
-7.028 -4.077 -4.482
-1.422 -7.788 4.840
Hf Nb Te
4 4 12
Direct
0.174 0.203 0.350 Hf
0.326 0.650 0.797 Hf
0.826 0.797 0.650 Hf
0.674 0.350 0.203 Hf
0.750 0.950 0.050 Nb
0.250 0.050 0.950 Nb
0.750 0.205 0.795 Nb
0.250 0.795 0.205 Nb
0.481 0.054 0.222 Te
0.019 0.778 0.946 Te
0.519 0.946 0.778 Te
0.981 0.222 0.054 Te
0.035 0.104 0.644 Te
0.465 0.356 0.896 Te
0.965 0.896 0.356 Te
0.535 0.644 0.104 Te
0.538 0.312 0.490 Te
0.962 0.510 0.688 Te
0.462 0.688 0.510 Te
0.038 0.490 0.312 Te
```


Entry 13:
A plane-wave DFT calculation with PBE was carried out for an optimized crystal structure of MgPBr2.

Properties
Energy relative to the lowest polymorph listed for this composition in eV per atom: 0.377
Energy in eV per atom: -2.7479
Raw formation energy in eV per atom: -0.160

Geometry as POSCAR:
```
MgPBr2
1.0
5.077 0.003 -0.023
-0.941 4.989 -0.023
2.083 2.514 3.814
Br Mg P
2 1 1
Direct
0.000 0.000 0.000 Br
0.500 0.500 0.000 Br
0.500 0.000 0.500 Mg
0.000 0.500 0.500 P
```


Entry 14:
A plane-wave DFT calculation with PBE was carried out for an optimized crystal structure of ErScNb4.

Properties
Energy in eV per atom: -8.3777

Geometry as POSCAR:
```
ErScNb4
1.0
5.651 0.000 0.000
2.826 4.894 0.000
2.826 1.631 4.614
Sc Nb Er
1 4 1
Direct
0.000 0.000 0.000 Sc
0.625 0.625 0.126 Nb
0.625 0.126 0.625 Nb
0.625 0.625 0.625 Nb
0.126 0.625 0.625 Nb
0.250 0.250 0.250 Er
```


Entry 15:
A plane-wave DFT calculation with PBE was carried out for an optimized crystal structure of Ta2ReIr.

Properties
Energy in eV per atom: -11.2742

Geometry as POSCAR:
```
Ta2ReIr
1.0
9.426 -0.023 -0.013
8.999 2.804 -0.013
8.999 1.359 2.453
Ir Re Ta
1 1 2
Direct
0.250 0.250 0.250 Ir
0.750 0.750 0.750 Re
0.998 0.998 0.998 Ta
0.502 0.502 0.502 Ta
```


Entry 16:
A plane-wave DFT calculation with PBE was carried out for an optimized crystal structure of Mg2TaTc.

Properties
Energy relative to the lowest polymorph listed for this composition in eV per atom: 0.323
Energy in eV per atom: -6.0267

Geometry as POSCAR:
```
Mg2TaTc
1.0
-0.594 -0.266 2.672
-1.445 -2.275 -0.547
7.609 -5.116 1.184
Mg Ta Tc
2 1 1
Direct
0.000 0.000 0.988 Mg
0.000 0.000 0.512 Mg
0.500 0.500 0.250 Ta
0.500 0.500 0.750 Tc
```


Entry 17:
A plane-wave DFT calculation with PBE was carried out for an optimized crystal structure of Np2ZnGe3Ir4.

Properties
Energy in eV per atom: -8.0394

Geometry as POSCAR:
```
Np2ZnGe3Ir4
1.0
-3.983 0.521 0.851
-0.837 -3.652 -1.680
1.420 -4.706 9.528
Np Zn Ge Ir
2 1 3 4
Direct
0.500 0.000 0.255 Np
0.000 0.500 0.745 Np
0.500 0.500 0.500 Zn
0.000 0.000 0.500 Ge
0.500 0.000 0.871 Ge
0.000 0.500 0.129 Ge
0.500 0.500 0.000 Ir
0.000 0.000 0.000 Ir
0.500 0.000 0.645 Ir
0.000 0.500 0.355 Ir
```


Entry 18:
A plane-wave DFT calculation with PBE was carried out for an optimized crystal structure of NbNi7Rh2.

Properties
Energy in eV per atom: -6.2102

Geometry as POSCAR:
```
NbNi7Rh2
1.0
2.565 0.000 0.000
0.000 7.379 -2.740
0.000 -1.196 7.780
Nb Ni Rh
1 7 2
Direct
0.000 0.000 0.000 Nb
0.000 0.650 0.350 Ni
0.000 0.350 0.650 Ni
0.500 0.150 0.344 Ni
0.500 0.850 0.656 Ni
0.500 0.344 0.150 Ni
0.500 0.656 0.850 Ni
0.500 0.500 0.500 Ni
0.500 0.804 0.196 Rh
0.500 0.196 0.804 Rh
```


Entry 19:
A plane-wave DFT calculation with PBE was carried out for an optimized crystal structure of RbGa2HgPt.

Properties
Energy relative to the lowest polymorph listed for this composition in eV per atom: 0.032
Energy in eV per atom: -2.8955

Geometry as POSCAR:
```
RbGa2HgPt
1.0
-1.037 -3.794 -2.862
2.972 1.768 -3.421
5.107 -3.413 2.674
Rb Ga Hg Pt
1 2 1 1
Direct
0.000 0.000 0.500 Rb
0.000 0.500 0.000 Ga
0.500 0.000 0.000 Ga
0.500 0.500 0.500 Hg
0.000 0.000 0.000 Pt
```


Entry 20:
A plane-wave DFT calculation with PBE was carried out for an optimized crystal structure of RbAlZn2F.

Properties
Energy in eV per atom: -2.3761
Raw formation energy in eV per atom: -0.550

Geometry as POSCAR:
```
RbAlZn2F
1.0
-3.328 -3.958 -0.816
3.253 -2.445 -1.409
0.832 -1.705 4.879
Zn Al Rb F
2 1 1 1
Direct
0.000 0.000 0.500 Zn
0.500 0.000 0.000 Zn
0.000 0.000 0.000 Al
0.500 0.500 0.500 Rb
0.000 0.500 0.000 F
```


Entry 21:
A plane-wave DFT calculation with PBE was carried out for an optimized crystal structure of Y2TlCr.

Properties
Energy relative to the lowest polymorph listed for this composition in eV per atom: 0.034
Energy in eV per atom: -6.1959

Geometry as POSCAR:
```
Y2TlCr
1.0
-2.705 -2.964 -2.698
-1.597 -1.283 3.010
-4.963 3.548 1.079
Cr Tl Y
1 1 2
Direct
0.000 0.699 0.477 Cr
0.500 0.555 0.764 Tl
0.000 0.964 0.947 Y
0.500 0.282 0.311 Y
```


Entry 22:
A plane-wave DFT calculation with PBE was carried out for an optimized crystal structure of NdInPt.

Properties
Energy in eV per atom: -5.3187

Geometry as POSCAR:
```
NdInPt
1.0
-0.353 3.594 -3.196
2.482 -0.194 -4.131
-2.314 -0.702 -4.173
Nd Pt In
1 1 1
Direct
0.500 0.500 0.500 Nd
0.250 0.250 0.250 Pt
0.000 0.000 0.000 In
```


Entry 23:
A plane-wave DFT calculation with PBE was carried out for an optimized crystal structure of LiInPb3.

Properties
Energy relative to the lowest polymorph listed for this composition in eV per atom: 0.026
Energy in eV per atom: -3.1967

Geometry as POSCAR:
```
LiInPb3
1.0
9.246 0.000 0.000
0.000 6.322 0.000
0.000 0.000 9.470
Li In Pb
4 4 12
Direct
0.500 0.000 0.000 Li
0.500 0.000 0.500 Li
0.000 0.500 0.000 Li
0.000 0.500 0.500 Li
0.004 0.748 0.750 In
0.504 0.752 0.250 In
0.496 0.248 0.750 In
0.996 0.252 0.250 In
0.627 0.260 0.250 Pb
0.873 0.760 0.250 Pb
0.127 0.240 0.750 Pb
0.373 0.740 0.750 Pb
0.675 0.593 0.551 Pb
0.675 0.593 0.949 Pb
0.825 0.093 0.551 Pb
0.825 0.093 0.949 Pb
0.175 0.907 0.449 Pb
0.175 0.907 0.051 Pb
0.325 0.407 0.051 Pb
0.325 0.407 0.449 Pb
```